Compound: CrIr
Source: Alexandria via LeMat-Bulk
Functional: PBE-GGA
Structure: relaxed

Summary:
**VASP energy**: -8.775 eV per atom
**Fermi-level density of states**: 4.625 states/eV/cell
**ΔH_f (0 K)**: 0.47 eV per atom
**Volume**: 59.9 Å³/cell
**Crystal system**: hexagonal
**Magnetic moment**: 0.00 μB/cell

a b c (Å): 3.8332 3.8332 4.7048
angles (deg): 90.00 90.00 120.00
Space group P6_3/mmc (No. 194)
Unique sites:
Cr1 0.0000 0.0000 0.0000 x2
Ir1 0.3333 0.6667 0.2500 x2